[1]
# Nd3Ga3Ir2

Crystalline Nd3Ga3Ir2 at its relaxed geometry (PBE-GGA, the Alexandria database).

Unit cell a=5.859 b=7.998 c=15.251 alpha=90.00 beta=90.00 gamma=90.00
Atoms (fractional coordinates):
Nd: 0.874 0.838 0.250
Ga: 0.385 0.679 0.250
Nd: 0.386 0.969 0.392
Ga: 0.399 0.666 0.961
Ir: 0.123 0.872 0.895
Ir: 0.623 0.628 0.395
Nd: 0.614 0.031 0.608
Ir: 0.377 0.372 0.605
Nd: 0.614 0.031 0.892
Ir: 0.623 0.628 0.105
Ir: 0.377 0.372 0.895
Nd: 0.126 0.162 0.750
Ga: 0.601 0.334 0.461
Ga: 0.101 0.166 0.539
Ir: 0.877 0.128 0.395
Nd: 0.114 0.469 0.392
Nd: 0.886 0.531 0.892
Ga: 0.615 0.321 0.750
Ga: 0.601 0.334 0.039
Ga: 0.899 0.834 0.039
Ir: 0.877 0.128 0.105
Ga: 0.101 0.166 0.961
Nd: 0.886 0.531 0.608
Ir: 0.123 0.872 0.605
Ga: 0.399 0.666 0.539
Ga: 0.885 0.821 0.750
Nd: 0.626 0.338 0.250
Nd: 0.114 0.469 0.108
Ga: 0.115 0.179 0.250
Nd: 0.374 0.662 0.750
Ga: 0.899 0.834 0.461
Nd: 0.386 0.969 0.108

Summary:
Total magnetic moment in μB/f.u.: 0.00
Space-group type: No. 62
Calculated density in g/cm³: 9.5
Energy of formation from the pure elements in eV/atom: -0.71

---

[2]
# AlOs2W

Crystalline AlOs2W at its relaxed geometry (PBE-GGA, the Alexandria database).

Unit cell a=5.136 b=5.136 c=5.136 alpha=146.83 beta=127.58 gamma=63.46
Atoms (fractional coordinates):
Os: 0.014 0.014 0.000
W: 0.750 0.250 0.500
Os: 0.486 0.486 0.000
Al: 0.250 0.750 0.500

Summary:
Total magnetic moment in μB/f.u.: 0.00
Space-group type: No. 71
Calculated density in g/cm³: 16.9
Energy of formation from the pure elements in eV/atom: 0.00

---

[3]
# Mg2Tl4In3

Crystalline Mg2Tl4In3 at its relaxed geometry (PBE-GGA, the Alexandria database).

Unit cell a=3.348 b=9.248 c=9.248 alpha=120.00 beta=90.00 gamma=90.00
Atoms (fractional coordinates):
In: 0.500 0.363 0.000
Tl: 0.000 0.000 0.681
In: 0.500 0.637 0.637
Mg: 0.000 0.667 0.333
Tl: 0.000 0.319 0.319
Tl: 0.500 0.000 0.000
Tl: 0.000 0.681 0.000
Mg: 0.000 0.333 0.667
In: 0.500 0.000 0.363

Summary:
Total magnetic moment in μB/f.u.: 0.00
Space-group type: No. 189
Calculated density in g/cm³: 8.1
Energy of formation from the pure elements in eV/atom: 0.03

---

[4]
# Ac3GaCl3

Crystalline Ac3GaCl3 at its relaxed geometry (PBE-GGA, the Alexandria database).

Unit cell a=6.224 b=6.224 c=6.224 alpha=90.00 beta=90.00 gamma=90.00
Atoms (fractional coordinates):
Ac: 0.500 0.000 0.500
Ac: 0.500 0.500 0.000
Ga: 0.500 0.500 0.500
Cl: 0.500 0.000 0.000
Cl: 0.000 0.000 0.500
Cl: 0.000 0.500 0.000
Ac: 0.000 0.500 0.500

Summary:
Total magnetic moment in μB/f.u.: 0.00
Formation energy without anion corrections in eV/atom: -1.519
Space-group type: No. 221
Calculated density in g/cm³: 5.9

---

Per-record energy, eV/atom: -5.853 -9.787 -2.291 -4.504